w:
Pr7YEr3 | the Alexandria database | GGA-PBE | optimized geometry; DOS(E_F) = 32.57 states/eV/cell
1.0
-0.1779 6.4024 8.2656
2.6089 -9.4757 -2.5673
9.9494 8.6106 2.2876
Pr Y Er
14 2 6
Direct
0.1164 0.6846 0.1620
0.8075 0.7726 0.7071
0.1158 0.6839 0.6622
0.9616 0.2445 0.1653
0.6388 0.9439 0.9778
0.6381 0.9430 0.4780
0.2304 0.3550 0.8321
0.8073 0.7727 0.2072
0.3443 0.0538 0.0215
0.3440 0.0529 0.5213
0.8917 0.4875 0.9428
0.8914 0.4868 0.4425
0.2295 0.3551 0.3326
0.9609 0.2438 0.6658
0.4931 0.4915 0.0118
0.4923 0.4908 0.5121
0.4338 0.7882 0.7577
0.0250 0.9448 0.9281
0.0247 0.9445 0.4281
0.4344 0.7888 0.2575
0.5594 0.2354 0.7432
0.5596 0.2361 0.2433


x:
Pr7YEr3 | the Alexandria database | GGA-PBE | optimized geometry; DOS(E_F) = 14.32 states/eV/cell
1.0
-2.9426 1.7246 -4.8707
4.4544 -7.2116 -1.6145
-4.9152 -5.2862 4.7278
Pr Y Er
7 1 3
Direct
0.2078 0.2074 0.2074
0.3071 0.0171 0.5973
0.6929 0.4027 0.9829
0.3071 0.5973 0.0171
0.0000 0.5000 0.5000
0.6929 0.9829 0.4027
0.7922 0.7926 0.7926
0.5000 0.5000 0.5000
0.0000 0.7955 0.2045
0.5000 0.0000 0.0000
0.0000 0.2045 0.7955


Which of them is most stable, and which least? Most stable: w; least stable: x.


w:
Pr2ErZn2 | the Alexandria database | GGA-PBE | optimized geometry; DOS(E_F) = 13.01 states/eV/cell
1.0
6.1689 0.0000 0.0000
0.0000 7.6462 0.0000
-3.0844 -3.8231 5.9339
Pr Er Zn
4 2 4
Direct
0.7985 0.6415 0.5970
0.2015 0.3585 0.4030
0.7015 0.0445 0.4030
0.2985 0.9555 0.5970
0.7500 0.5000 0.0000
0.2500 0.5000 0.0000
0.4432 0.7720 0.8865
0.5568 0.2280 0.1135
0.0568 0.8856 0.1135
0.9432 0.1144 0.8865


x:
Pr2ErZn2 | the Alexandria database | GGA-PBE | optimized geometry; DOS(E_F) = 6.26 states/eV/cell
1.0
-1.1687 3.0824 -1.3505
-0.3801 -1.5853 -3.2894
-9.7626 -3.3892 0.7127
Pr Er Zn
2 1 2
Direct
0.0000 0.1735 0.6530
0.0000 0.8265 0.3470
0.0000 0.0000 0.0000
0.5000 0.4207 0.1586
0.5000 0.5793 0.8414


Which of them is most stable, and which least? Most stable: x; least stable: w.


w:
Pr4ErZn | the Alexandria database | GGA-PBE | optimized geometry; DOS(E_F) = 7.01 states/eV/cell
1.0
3.6906 0.0000 0.0000
0.0000 3.6906 0.0000
0.0000 0.0000 14.0221
Pr Er Zn
4 1 1
Direct
0.5000 0.5000 0.1778
0.0000 0.0000 0.6326
0.0000 0.0000 0.3674
0.5000 0.5000 0.8222
0.0000 0.0000 0.0000
0.5000 0.5000 0.5000


x:
Pr4ErZn | the Alexandria database | GGA-PBE | optimized geometry; DOS(E_F) = 16.46 states/eV/cell
1.0
-1.1703 4.9060 3.9587
-6.1283 -6.9157 1.1213
7.7732 -1.8735 2.2463
Pr Er Zn
8 2 2
Direct
0.0453 0.1702 0.7799
0.7643 0.7127 0.6334
0.2346 0.6097 0.7799
0.3691 0.9206 0.6334
0.6309 0.0794 0.3666
0.7654 0.3903 0.2201
0.2357 0.2873 0.3666
0.9547 0.8298 0.2201
0.3435 0.5935 0.1870
0.6565 0.4065 0.8130
0.2508 0.0008 0.0016
0.7492 0.9992 0.9984


Which of them is most stable, and which least? Most stable: w; least stable: x.


w:
PrErZn2 | the Alexandria database | GGA-PBE | optimized geometry; DOS(E_F) = 4.08 states/eV/cell
1.0
3.5910 0.0000 0.0000
0.0000 3.5910 0.0000
0.0000 0.0000 7.3818
Pr Zn Er
1 2 1
Direct
0.5000 0.5000 0.5000
0.0000 0.0000 0.7753
0.0000 0.0000 0.2247
0.5000 0.5000 0.0000


x:
PrErZn2 | the Alexandria database | GGA-PBE | optimized geometry; DOS(E_F) = 4.51 states/eV/cell
1.0
-0.0485 -0.6063 3.5835
2.2083 -2.4959 1.4510
7.1280 5.3101 2.8384
Pr Zn Er
1 2 1
Direct
0.5000 0.5000 0.5000
0.7455 0.7455 0.7636
0.2545 0.2545 0.2364
0.0000 0.0000 0.0000


y:
PrErZn2 | the Alexandria database | GGA-PBE | optimized geometry; DOS(E_F) = 4.68 states/eV/cell
1.0
-3.0250 3.3936 -2.3803
-5.0166 -0.9511 -0.5121
-3.4158 2.7234 2.6923
Pr Zn Er
1 2 1
Direct
0.0000 0.0000 0.0000
0.2500 0.2500 0.2500
0.7500 0.7500 0.7500
0.5000 0.5000 0.5000


Which of them is most stable, and which least? Most stable: w; least stable: x.


w:
Pr2ErZr | the Alexandria database | GGA-PBE | optimized geometry; DOS(E_F) = 4.68 states/eV/cell
1.0
4.9177 0.0000 0.0000
0.0000 4.9901 0.0000
0.0000 0.0000 4.9901
Pr Zr Er
2 1 1
Direct
0.0000 0.0000 0.5000
0.0000 0.5000 0.0000
0.5000 0.0000 0.0000
0.5000 0.5000 0.5000


x:
Pr2ErZr | the Alexandria database | GGA-PBE | optimized geometry; DOS(E_F) = 5.09 states/eV/cell
1.0
3.4241 0.0000 0.0000
1.7121 2.9654 0.0000
1.7121 0.9885 12.2115
Pr Zr Er
2 1 1
Direct
0.0856 0.0856 0.7432
0.9144 0.9144 0.2568
0.0000 0.0000 0.0000
0.5000 0.5000 0.5000


Which of them is most stable, and which least? Most stable: w; least stable: x.


w:
Pr2ErZr | the Alexandria database | GGA-PBE | optimized geometry; DOS(E_F) = 7.46 states/eV/cell
1.0
5.5608 0.0000 0.0000
2.7804 4.8158 0.0000
2.7804 1.6053 4.5404
Pr Zr Er
2 1 1
Direct
0.2500 0.2500 0.2500
0.7500 0.7500 0.7500
0.5000 0.5000 0.5000
0.0000 0.0000 0.0000


x:
Pr2ErZr | the Alexandria database | GGA-PBE | optimized geometry; DOS(E_F) = 5.88 states/eV/cell
1.0
3.5296 0.0000 0.0000
1.7648 3.0567 0.0000
1.7648 1.0189 11.4535
Pr Er Zr
2 1 1
Direct
0.0870 0.0870 0.7390
0.2458 0.2458 0.2627
0.6675 0.6675 0.9976
0.4998 0.4998 0.5007


Which of them is most stable, and which least? Most stable: x; least stable: w.